Density functional theory data (meta-GGA SCAN) for a crystal of LaRh2Au relaxed with PBEsol. Values from VASP.

Properties
Formation energy   -0.27 eV/atom
Total magnetic moment   0.00 μB per formula unit
D(E_F)   0.475 states/eV per atom

Quantum ESPRESSO input file:
```
&SYSTEM
  ibrav = 0, nat = 4, ntyp = 3
/
ATOMIC_SPECIES
Au 196.97 Au.upf
Rh 102.91 Rh.upf
La 138.91 La.upf
ATOMIC_POSITIONS angstrom
Au 1.728 1.728 0.000
Rh 0.000 0.000 1.400
Rh 0.000 0.000 4.618
La 1.728 1.728 3.009
CELL_PARAMETERS angstrom
3.455 0.000 0.000
0.000 3.455 0.000
0.000 0.000 6.018
```